Entry from the Open Quantum Materials Database: a geometry-optimized BeTlRe structure (PBE).

Computed properties:
Volume = 16.06 A^3/atom
Energy above the most stable polymorph in this dataset = 0 meV per atom
Symmetry = No. 216

The structure in extended XYZ format:
```
3
Lattice="0.0000 2.8881 2.8881 2.8881 0.0000 2.8881 2.8881 2.8881 0.0000" Properties=species:S:1:pos:R:3 pbc="T T T"
Be 0.0000 0.0000 0.0000
Tl 1.4441 1.4441 1.4441
Re 4.3322 4.3322 4.3322
```